# 1
# CdSn4Pd2

CdSn4Pd2 after structural relaxation (PBE, Alexandria via LeMat-Bulk).

a = 7.734 Å, b = 7.734 Å, c = 7.734 Å
α = 139.04°, β = 139.04°, γ = 59.32°
Positions (direct):
Cd (0.000, 0.000, 0.000)
Sn (0.000, 0.500, 0.500)
Sn (0.211, 0.211, 0.000)
Sn (0.500, 0.000, 0.500)
Sn (0.789, 0.789, 0.000)
Pd (0.401, 0.401, 0.000)
Pd (0.599, 0.599, 0.000)

Calculated values
The space group is I4/mmm, No. 139. As for the formation energy: 281 meV per atom. For the energy above the most stable polymorph in this dataset, the calculation gives 408.8 kJ/mol of formula units.

# 2
# CdSn2Pd

CdSn2Pd after structural relaxation (PBE, Alexandria via LeMat-Bulk).

a = 4.456 Å, b = 4.652 Å, c = 9.317 Å
α = 90.00°, β = 103.17°, γ = 90.00°
Positions (direct):
Cd (0.063, 0.250, 0.119)
Cd (0.937, 0.750, 0.881)
Sn (0.247, 0.250, 0.498)
Sn (0.425, 0.250, 0.851)
Sn (0.575, 0.750, 0.149)
Sn (0.753, 0.750, 0.502)
Pd (0.337, 0.750, 0.678)
Pd (0.663, 0.250, 0.322)

Calculated values
The space group is P2_1/m, No. 11. As for the formation energy: -249 meV per atom.

# 3
# Cd3SnPd4

Cd3SnPd4 after structural relaxation (PBE, Alexandria via LeMat-Bulk).

a = 7.356 Å, b = 7.356 Å, c = 7.356 Å
α = 143.27°, β = 143.27°, γ = 52.92°
Positions (direct):
Cd (0.000, 0.000, 0.000)
Cd (0.248, 0.248, 0.000)
Cd (0.752, 0.752, 0.000)
Sn (0.500, 0.500, 0.000)
Pd (0.121, 0.621, 0.500)
Pd (0.379, 0.879, 0.500)
Pd (0.621, 0.121, 0.500)
Pd (0.879, 0.379, 0.500)

Calculated values
The space group is I4/mmm, No. 139. As for the formation energy: -429 meV per atom.

# 4
# Cd2SnPd

Cd2SnPd after structural relaxation (PBE, Alexandria via LeMat-Bulk).

a = 5.458 Å, b = 5.458 Å, c = 5.458 Å
α = 50.95°, β = 50.95°, γ = 50.95°
Positions (direct):
Cd (0.000, 0.000, 0.000)
Cd (0.216, 0.216, 0.216)
Sn (0.435, 0.435, 0.435)
Pd (0.625, 0.625, 0.625)

Calculated values
The space group is R3m, No. 160. As for the formation energy: -136 meV per atom.

# 5
# CdSn2Pd7

CdSn2Pd7 after structural relaxation (PBE, Alexandria via LeMat-Bulk).

a = 11.263 Å, b = 11.263 Å, c = 11.263 Å
α = 159.00°, β = 159.00°, γ = 29.87°
Positions (direct):
Cd (0.000, 0.000, 0.000)
Sn (0.330, 0.330, 0.000)
Sn (0.670, 0.670, 0.000)
Pd (0.092, 0.592, 0.500)
Pd (0.250, 0.750, 0.500)
Pd (0.408, 0.908, 0.500)
Pd (0.500, 0.500, 0.000)
Pd (0.592, 0.092, 0.500)
Pd (0.750, 0.250, 0.500)
Pd (0.908, 0.408, 0.500)

Calculated values
The space group is I4/mmm, No. 139. As for the formation energy: -366 meV per atom. For the energy above the most stable polymorph in this dataset, the calculation gives 0.0 kJ/mol of formula units.

# 6
# CdSn2Pd5

CdSn2Pd5 after structural relaxation (PBE, Alexandria via LeMat-Bulk).

a = 6.853 Å, b = 6.853 Å, c = 6.853 Å
α = 138.48°, β = 138.48°, γ = 60.17°
Positions (direct):
Cd (0.000, 0.000, 0.000)
Sn (0.262, 0.262, 0.000)
Sn (0.738, 0.738, 0.000)
Pd (0.127, 0.627, 0.500)
Pd (0.373, 0.873, 0.500)
Pd (0.500, 0.500, 0.000)
Pd (0.627, 0.127, 0.500)
Pd (0.873, 0.373, 0.500)

Calculated values
The space group is I4/mmm, No. 139. As for the formation energy: -394 meV per atom. For the energy above the most stable polymorph in this dataset, the calculation gives 0.0 kJ/mol of formula units.

# 7
# CdSn2Pd4

CdSn2Pd4 after structural relaxation (PBE, Alexandria via LeMat-Bulk).

a = 7.573 Å, b = 7.573 Å, c = 7.573 Å
α = 141.93°, β = 141.93°, γ = 54.93°
Positions (direct):
Cd (0.000, 0.000, 0.000)
Sn (0.386, 0.386, 0.000)
Sn (0.614, 0.614, 0.000)
Pd (0.000, 0.500, 0.500)
Pd (0.197, 0.197, 0.000)
Pd (0.500, 0.000, 0.500)
Pd (0.803, 0.803, 0.000)

Calculated values
The space group is I4/mmm, No. 139. As for the formation energy: 228 meV per atom. For the energy above the most stable polymorph in this dataset, the calculation gives 432.3 kJ/mol of formula units.

# 8
# Cd2SnPd

Cd2SnPd after structural relaxation (PBE, Alexandria via LeMat-Bulk).

a = 11.393 Å, b = 11.393 Å, c = 11.393 Å
α = 15.35°, β = 15.35°, γ = 15.35°
Positions (direct):
Cd (0.080, 0.080, 0.080)
Cd (0.920, 0.920, 0.920)
Sn (0.500, 0.500, 0.500)
Pd (0.000, 0.000, 0.000)

Calculated values
The space group is R-3m, No. 166. As for the formation energy: 155 meV per atom.